Record 1
Below is CaSb2AsPd at its PBEsol-relaxed geometry, with properties calculated at the SCAN level.

Properties
raw formation energy	-107	meV per atom

Unit cell a=5.347 b=5.347 c=4.691 alpha=90.00 beta=90.00 gamma=90.00
Fractional positions:
Ca1 0.000 0.000 0.000
Sb1 0.000 0.500 0.500
Sb2 0.500 0.000 0.500
As1 0.500 0.500 0.000
Pd1 0.500 0.500 0.500

***

Record 2
Below is RbSrNb2Br at its PBEsol-relaxed geometry, with properties calculated at the SCAN level.

Properties
raw formation energy	1723	meV per atom

Unit cell a=4.872 b=4.872 c=6.208 alpha=90.00 beta=90.00 gamma=90.00
Fractional positions:
Rb1 0.000 0.000 0.000
Sr1 0.500 0.500 0.500
Nb1 0.000 0.500 0.000
Nb2 0.500 0.000 0.000
Br1 0.000 0.000 0.500

***

Record 3
Below is HfAl3In at its PBEsol-relaxed geometry, with properties calculated at the SCAN level.

Properties
raw total energy	-113.7	eV per cell

Unit cell a=4.961 b=4.961 c=4.961 alpha=90.00 beta=90.00 gamma=90.00
Fractional positions:
Hf1 0.000 0.000 0.000
Al1 0.000 0.500 0.500
Al2 0.500 0.000 0.500
Al3 0.500 0.500 0.000
In1 0.500 0.500 0.500

***

Repeat the third record exactly.
Below is HfAl3In at its PBEsol-relaxed geometry, with properties calculated at the SCAN level.

Properties
raw total energy	-113.7	eV per cell

Unit cell a=4.961 b=4.961 c=4.961 alpha=90.00 beta=90.00 gamma=90.00
Fractional positions:
Hf1 0.000 0.000 0.000
Al1 0.000 0.500 0.500
Al2 0.500 0.000 0.500
Al3 0.500 0.500 0.000
In1 0.500 0.500 0.500